The following is a PBE calculation of a relaxed ErAg2Sb crystal, from Alexandria via LeMat-Bulk.

a = 4.2805 Å, b = 4.2805 Å, c = 4.8725 Å
α = 90.00°, β = 90.00°, γ = 90.00°
Closest atoms and distances in Å follow each position.
Space group P4/mmm (No. 123)
Asymmetric unit:
Er1 0.0000 0.0000 0.0000 x1  4 Sb 3.03, 8 Ag 3.24
Ag1 0.0000 0.5000 0.5000 x2  4 Ag 3.03, 4 Sb 3.24, 4 Er 3.24
Sb1 0.5000 0.5000 0.0000 x1  4 Er 3.03, 8 Ag 3.24

Computed properties:
E_form (uncorrected) ... -0.406 eV per atom